(1)
DFT (PBE-GGA) results for Ce2DyCo after structural relaxation.

Values from the calculation:
As for the density of states at the Fermi level: 7.899 states/eV/f.u. The calculation puts the raw total energy at -6.03 eV per atom. The symmetry is P2_1/m (11).

Cell lengths 3.5659, 9.5373, 5.9319 Å; angles 90.00, 107.41, 90.00 degrees
Closest atoms and distances in Å follow each position.
Element x y z (fractional)
1 Ce 0.1395 0.0632 0.2793  2 Co 2.60
2 Ce 0.1395 0.4368 0.2793  2 Co 2.60
3 Ce 0.8605 0.5632 0.7207  2 Co 2.60
4 Ce 0.8605 0.9368 0.7207  2 Co 2.60
5 Dy 0.4140 0.2500 0.8279  3 Co 3.05-3.19
6 Dy 0.5860 0.7500 0.1721  3 Co 3.05-3.19
7 Co 0.3043 0.7500 0.6090  4 Ce 2.60
8 Co 0.6957 0.2500 0.3910  4 Ce 2.60

---

(2)
DFT (PBE-GGA) results for CeDy3Co8 after structural relaxation.

Values from the calculation:
As for the density of states at the Fermi level: 14.866 states/eV/f.u. The calculation puts the raw total energy at -6.58 eV per atom. The symmetry is R3m (160).

Cell lengths 8.7676, 8.7676, 8.7676 Å; angles 33.51, 33.51, 33.51 degrees
Closest atoms and distances in Å follow each position.
Element x y z (fractional)
1 Ce 0.0000 0.0000 0.0000  12 Co 2.96-2.98, 4 Dy 3.09-3.10
2 Dy 0.1250 0.1250 0.1250  12 Co 2.96-2.97, 3 Dy 3.10, 1 Ce 3.10
3 Dy 0.5004 0.5004 0.5004  12 Co 2.96, 4 Dy 3.10
4 Dy 0.6254 0.6254 0.6254  12 Co 2.96-2.97, 3 Ce 3.09, 1 Dy 3.10
5 Co 0.0631 0.0631 0.5606  6 Co 2.51-2.54
6 Co 0.0631 0.5606 0.0631  6 Co 2.51-2.54
7 Co 0.0640 0.5627 0.5627  6 Co 2.52-2.53
8 Co 0.3128 0.3128 0.3128  6 Co 2.53-2.54
9 Co 0.5606 0.0631 0.0631  6 Co 2.51-2.54
10 Co 0.5627 0.0640 0.5627  6 Co 2.52-2.53
11 Co 0.5627 0.5627 0.0640  6 Co 2.52-2.53
12 Co 0.8129 0.8129 0.8129  6 Co 2.52-2.53

---

(3)
DFT (PBE-GGA) results for CeDyCo2 after structural relaxation.

Values from the calculation:
As for the density of states at the Fermi level: 3.449 states/eV/f.u. The calculation puts the raw total energy at -6.34 eV per atom. The symmetry is P4/mmm (123).

Cell lengths 3.3356, 3.3356, 6.7037 Å; angles 90.00, 90.00, 90.00 degrees
Closest atoms and distances in Å follow each position.
Element x y z (fractional)
1 Ce 0.0000 0.0000 0.0000  8 Co 2.79
2 Dy 0.0000 0.0000 0.5000  8 Co 3.01, 4 Dy 3.34, 2 Ce 3.35
3 Co 0.5000 0.5000 0.2214  4 Ce 2.79, 1 Co 2.97, 4 Dy 3.01
4 Co 0.5000 0.5000 0.7786  4 Ce 2.79, 1 Co 2.97, 4 Dy 3.01

---

(4)
DFT (PBE-GGA) results for Ce2Dy5Co4 after structural relaxation.

Values from the calculation:
As for the density of states at the Fermi level: 13.031 states/eV/f.u. The calculation puts the raw total energy at -5.72 eV per atom. The symmetry is C2/m (12).

Cell lengths 11.0506, 11.0506, 7.0700 Å; angles 97.70, 97.70, 17.82 degrees
Closest atoms and distances in Å follow each position.
Element x y z (fractional)
1 Ce 0.0727 0.0727 0.1202  1 Co 2.19
2 Ce 0.9273 0.9273 0.8798  1 Co 2.19
3 Dy 0.1482 0.1482 0.6149  3 Co 2.72-2.74
4 Dy 0.2211 0.2211 0.1705  3 Co 2.79-2.94
5 Dy 0.5000 0.5000 0.5000  4 Co 2.87
6 Dy 0.7789 0.7789 0.8295  3 Co 2.79-2.94
7 Dy 0.8518 0.8518 0.3851  3 Co 2.72-2.74
8 Co 0.0481 0.0481 0.8099  1 Ce 2.19
9 Co 0.3492 0.3492 0.0852  5 Dy 2.72-2.94, 2 Co 2.84, 2 Ce 2.94
10 Co 0.6508 0.6508 0.9148  5 Dy 2.72-2.94, 2 Co 2.84, 2 Ce 2.94
11 Co 0.9519 0.9519 0.1901  1 Ce 2.19

---

(5)
DFT (PBE-GGA) results for Ce2DyCo after structural relaxation.

Values from the calculation:
As for the density of states at the Fermi level: 8.507 states/eV/f.u. The calculation puts the raw total energy at -5.90 eV per atom. The symmetry is R3m (160).

Cell lengths 9.0983, 9.0983, 9.0983 Å; angles 23.46, 23.46, 23.46 degrees
Closest atoms and distances in Å follow each position.
Element x y z (fractional)
1 Ce 0.0000 0.0000 0.0000  3 Co 2.67
2 Ce 0.2126 0.2126 0.2126  3 Co 2.67
3 Dy 0.4387 0.4387 0.4387  6 Ce 3.52-3.56, 6 Dy 3.70
4 Co 0.6061 0.6061 0.6061  6 Ce 2.67

---

(6)
DFT (PBE-GGA) results for CeDy4Co4 after structural relaxation.

Values from the calculation:
As for the density of states at the Fermi level: 8.330 states/eV/f.u. The calculation puts the raw total energy at -6.02 eV per atom. The symmetry is P4_2/n (86).

Cell lengths 8.1400, 8.1400, 5.7365 Å; angles 90.00, 90.00, 90.00 degrees
Closest atoms and distances in Å follow each position.
Element x y z (fractional)
1 Ce 0.2500 0.2500 0.2500  4 Co 2.36
2 Ce 0.7500 0.7500 0.7500  4 Co 2.36
3 Dy 0.0547 0.6780 0.1398  5 Co 2.72-3.04
4 Dy 0.1780 0.9453 0.6398  5 Co 2.72-3.04
5 Dy 0.3220 0.5547 0.6398  5 Co 2.72-3.04
6 Dy 0.4453 0.8220 0.1398  5 Co 2.72-3.04
7 Dy 0.5547 0.1780 0.8602  5 Co 2.72-3.04
8 Dy 0.6780 0.4453 0.3602  5 Co 2.72-3.04
9 Dy 0.8220 0.0547 0.3602  5 Co 2.72-3.04
10 Dy 0.9453 0.3220 0.8602  5 Co 2.72-3.04
11 Co 0.0050 0.3778 0.3771  1 Ce 2.36, 1 Co 2.44
12 Co 0.1222 0.0050 0.1229  1 Ce 2.36, 1 Co 2.44
13 Co 0.3778 0.4950 0.1229  1 Ce 2.36, 1 Co 2.44
14 Co 0.4950 0.1222 0.3771  1 Ce 2.36, 1 Co 2.44
15 Co 0.5050 0.8778 0.6229  1 Ce 2.36, 1 Co 2.44
16 Co 0.6222 0.5050 0.8771  1 Ce 2.36, 1 Co 2.44
17 Co 0.8778 0.9950 0.8771  1 Ce 2.36, 1 Co 2.44
18 Co 0.9950 0.6222 0.6229  1 Ce 2.36, 1 Co 2.44

---

(7)
DFT (PBE-GGA) results for Ce4DyCo4 after structural relaxation.

Values from the calculation:
As for the density of states at the Fermi level: 12.066 states/eV/f.u. The calculation puts the raw total energy at -6.46 eV per atom. The symmetry is P4_2/n (86).

Cell lengths 8.2399, 8.2399, 5.6923 Å; angles 90.00, 90.00, 90.00 degrees
Closest atoms and distances in Å follow each position.
Element x y z (fractional)
1 Ce 0.0539 0.6668 0.1834  2 Co 2.39-2.57
2 Ce 0.1668 0.9461 0.6834  2 Co 2.39-2.57
3 Ce 0.3332 0.5539 0.6834  2 Co 2.39-2.57
4 Ce 0.4461 0.8332 0.1834  2 Co 2.39-2.57
5 Ce 0.5539 0.1668 0.8166  2 Co 2.39-2.57
6 Ce 0.6668 0.4461 0.3166  2 Co 2.39-2.57
7 Ce 0.8332 0.0539 0.3166  2 Co 2.39-2.57
8 Ce 0.9461 0.3332 0.8166  2 Co 2.39-2.57
9 Dy 0.2500 0.2500 0.2500  4 Co 2.77
10 Dy 0.7500 0.7500 0.7500  4 Co 2.77
11 Co 0.0491 0.6079 0.6636  2 Ce 2.39-2.57
12 Co 0.1079 0.9509 0.1636  2 Ce 2.39-2.57
13 Co 0.3921 0.5491 0.1636  2 Ce 2.39-2.57
14 Co 0.4509 0.8921 0.6636  2 Ce 2.39-2.57
15 Co 0.5491 0.1079 0.3364  2 Ce 2.39-2.57
16 Co 0.6079 0.4509 0.8364  2 Ce 2.39-2.57
17 Co 0.8921 0.0491 0.8364  2 Ce 2.39-2.57
18 Co 0.9509 0.3921 0.3364  2 Ce 2.39-2.57

---

(8)
DFT (PBE-GGA) results for Ce2DyCo2 after structural relaxation.

Values from the calculation:
As for the density of states at the Fermi level: 7.399 states/eV/f.u. The calculation puts the raw total energy at -6.19 eV per atom. The symmetry is C2/m (12).

Cell lengths 5.0288, 5.0288, 5.2982 Å; angles 118.82, 118.82, 80.37 degrees
Closest atoms and distances in Å follow each position.
Element x y z (fractional)
1 Ce 0.2279 0.7721 0.0000  2 Co 2.54
2 Ce 0.7721 0.2279 0.0000  2 Co 2.54
3 Dy 0.5000 0.5000 0.5000  8 Co 3.13-3.45, 8 Ce 3.18-3.33
4 Co 0.1936 0.1936 0.7005  1 Co 2.32, 2 Ce 2.54
5 Co 0.8064 0.8064 0.2995  1 Co 2.32, 2 Ce 2.54

---

(9)
DFT (PBE-GGA) results for Ce2DyCo after structural relaxation.

Values from the calculation:
As for the density of states at the Fermi level: 11.009 states/eV/f.u. The calculation puts the raw total energy at -5.59 eV per atom. The symmetry is R-3m (166).

Cell lengths 4.8758, 4.8758, 4.8758 Å; angles 67.94, 67.94, 67.94 degrees
Closest atoms and distances in Å follow each position.
Element x y z (fractional)
1 Ce 0.2190 0.2190 0.2190  1 Co 2.45
2 Ce 0.7810 0.7810 0.7810  1 Co 2.45
3 Dy 0.5000 0.5000 0.5000  8 Ce 3.14-3.20
4 Co 0.0000 0.0000 0.0000  2 Ce 2.45

---

(10)
DFT (PBE-GGA) results for CeDyCo2 after structural relaxation.

Values from the calculation:
As for the density of states at the Fermi level: 3.646 states/eV/f.u. The calculation puts the raw total energy at -6.39 eV per atom. The symmetry is Amm2 (38).

Cell lengths 3.8734, 5.6940, 5.6940 Å; angles 37.87, 90.00, 90.00 degrees
Closest atoms and distances in Å follow each position.
Element x y z (fractional)
1 Ce 0.0000 0.0000 0.0000  6 Co 2.73-2.85
2 Dy 0.5000 0.2739 0.2739  7 Co 2.79-3.05
3 Co 0.0000 0.7019 0.7019  2 Co 2.55, 4 Dy 2.79, 2 Ce 2.85
4 Co 0.5000 0.5480 0.5480  2 Co 2.55, 4 Ce 2.73

---

(11)
DFT (PBE-GGA) results for CeDyCo10 after structural relaxation.

Values from the calculation:
As for the density of states at the Fermi level: 17.562 states/eV/f.u. The calculation puts the raw total energy at -6.92 eV per atom. The symmetry is Pmmm (47).

Cell lengths 3.9764, 4.8900, 8.5045 Å; angles 90.00, 90.00, 90.00 degrees
Closest atoms and distances in Å follow each position.
Element x y z (fractional)
1 Ce 0.0000 0.0000 0.0000  6 Co 2.70-2.81
2 Dy 0.0000 0.5000 0.5000  18 Co 2.87-3.15
3 Co 0.0000 0.0000 0.3171  6 Co 2.41-2.52, 1 Ce 2.70
4 Co 0.0000 0.0000 0.6829  6 Co 2.41-2.52, 1 Ce 2.70
5 Co 0.0000 0.5000 0.1629  6 Co 2.42-2.45
6 Co 0.0000 0.5000 0.8371  6 Co 2.42-2.45
7 Co 0.5000 0.0000 0.5000  8 Co 2.43-2.52
8 Co 0.5000 0.2574 0.2563  8 Co 2.37-2.52
9 Co 0.5000 0.2574 0.7437  8 Co 2.37-2.52
10 Co 0.5000 0.5000 0.0000  8 Co 2.42-2.48
11 Co 0.5000 0.7426 0.2563  8 Co 2.37-2.52
12 Co 0.5000 0.7426 0.7437  8 Co 2.37-2.52

---

(12)
DFT (PBE-GGA) results for Ce2Dy2Co3 after structural relaxation.

Values from the calculation:
As for the density of states at the Fermi level: 6.057 states/eV/f.u. The calculation puts the raw total energy at -6.27 eV per atom. The symmetry is P-1 (2).

Cell lengths 3.9695, 5.6732, 6.8867 Å; angles 87.45, 79.05, 71.21 degrees
Closest atoms and distances in Å follow each position.
Element x y z (fractional)
1 Ce 0.1588 0.1933 0.4061  1 Co 2.31
2 Ce 0.8412 0.8067 0.5939  1 Co 2.31
3 Dy 0.3981 0.2878 0.8784  5 Co 2.81-3.04
4 Dy 0.6019 0.7121 0.1216  5 Co 2.81-3.04
5 Co 0.1560 0.8392 0.8352  1 Ce 2.31
6 Co 0.5000 0.5000 0.5000  4 Ce 2.61-2.69, 2 Dy 2.83, 2 Co 2.90
7 Co 0.8440 0.1608 0.1648  1 Ce 2.31